Entry 1:
{
  "formula": "TiSn9O20",
  "functional": "PBE-GGA",
  "state": "optimized geometry",
  "lattice_angstrom": [[7.282, -3.401, 0.000], [7.282, 3.401, 0.000], [-0.338, 0.000, 7.522]],
  "species": ["Ti", "Sn", "Sn", "Sn", "Sn", "Sn", "Sn", "Sn", "Sn", "Sn", "O", "O", "O", "O", "O", "O", "O", "O", "O", "O", "O", "O", "O", "O", "O", "O", "O", "O", "O", "O"],
  "frac_coords": [[0.000, 0.000, 0.000], [0.000, 0.000, 0.500], [0.197, 0.197, 0.199], [0.199, 0.199, 0.702], [0.399, 0.399, 0.401], [0.401, 0.401, 0.902], [0.599, 0.599, 0.098], [0.601, 0.601, 0.599], [0.801, 0.801, 0.298], [0.803, 0.803, 0.801], [0.056, 0.056, 0.245], [0.093, 0.705, 0.405], [0.106, 0.494, 0.803], [0.132, 0.132, 0.943], [0.260, 0.260, 0.455], [0.295, 0.907, 0.595], [0.299, 0.701, 0.000], [0.338, 0.338, 0.146], [0.462, 0.462, 0.656], [0.494, 0.106, 0.803], [0.506, 0.894, 0.197], [0.538, 0.538, 0.344], [0.662, 0.662, 0.854], [0.701, 0.299, 0.000], [0.705, 0.093, 0.405], [0.740, 0.740, 0.545], [0.868, 0.868, 0.057], [0.894, 0.506, 0.197], [0.907, 0.295, 0.595], [0.944, 0.944, 0.755]],
  "raw_formation_energy_ev_per_atom": -1.77,
  "magmom_total_mub_per_cell": 0.0,
  "spacegroup": "C2/m"
}



Entry 2:
{
  "formula": "Ce2ZnNi5Rh2",
  "functional": "PBE-GGA",
  "state": "optimized geometry",
  "lattice_angstrom": [[8.944, 0.000, 0.000], [0.000, 8.944, 0.000], [0.000, 0.000, 3.911]],
  "species": ["Ce", "Ce", "Ce", "Ce", "Zn", "Zn", "Ni", "Ni", "Ni", "Ni", "Ni", "Ni", "Ni", "Ni", "Ni", "Ni", "Rh", "Rh", "Rh", "Rh"],
  "frac_coords": [[0.176, 0.324, 0.000], [0.324, 0.824, 0.000], [0.676, 0.176, 0.000], [0.824, 0.676, 0.000], [0.000, 0.000, 0.000], [0.500, 0.500, 0.000], [0.000, 0.500, 0.500], [0.051, 0.806, 0.500], [0.194, 0.051, 0.500], [0.306, 0.551, 0.500], [0.449, 0.306, 0.500], [0.500, 0.000, 0.500], [0.551, 0.694, 0.500], [0.694, 0.449, 0.500], [0.806, 0.949, 0.500], [0.949, 0.194, 0.500], [0.131, 0.631, 0.000], [0.369, 0.131, 0.000], [0.631, 0.869, 0.000], [0.869, 0.369, 0.000]],
  "magmom_total_mub_per_cell": 0.0,
  "e_form_ev_per_atom": -0.3367,
  "spacegroup": "P4/mbm"
}



Entry 3:
{
  "formula": "DyTlSb2",
  "functional": "PBE-GGA",
  "state": "optimized geometry",
  "lattice_angstrom": [[4.117, 0.000, 0.000], [0.000, 4.117, 0.000], [0.000, 0.000, 6.733]],
  "species": ["Dy", "Tl", "Sb", "Sb"],
  "frac_coords": [[0.000, 0.000, 0.000], [0.000, 0.000, 0.500], [0.500, 0.500, 0.221], [0.500, 0.500, 0.779]],
  "de_polymorph_kj_per_mol_fu": 0,
  "raw_formation_energy_ev_per_atom": -0.48,
  "magmom_total_mub_per_cell": 0.0,
  "spacegroup": "P4/mmm"
}